# NbZn2Rh PBE optimized geometry
data_NbZn2Rh
_cell_length_a 4.974
_cell_length_b 2.799
_cell_length_c 9.075
_cell_angle_alpha 90.00
_cell_angle_beta 101.12
_cell_angle_gamma 90.00
_symmetry_space_group_name_H-M 'C 1 m 1'
_symmetry_Int_Tables_number 8
_symmetry_space_group_name_Hall 'C -2y'
loop_
_atom_site_label
_atom_site_fract_x
_atom_site_fract_y
_atom_site_fract_z
Nb1 0.000 0.000 0.000
Zn1 0.080 0.500 0.731
Zn2 0.264 0.500 0.268
Rh1 0.173 0.000 0.500
# Magnetic moment, μB per cell: 0.00
# Crystal system: monoclinic
# ΔH_f (0 K), eV per formula unit: -0.304